Record 1
This record from Alexandria via LeMat-Bulk describes a relaxed structure of MgMn2HPt. The functional is GGA-PBE.

Computed properties:
As for the space group: P4/mmm (123). As for the calculated volume: 61.0 Å³ per cell. The calculation puts the magnetization at 6.6 μB/f.u. For the electronic total energy, the calculation gives -6.054 eV/atom.

Cell lengths 3.793, 3.793, 4.237 Å; angles 90.00, 90.00, 90.00 degrees
Sites, in units of the cell vectors:
Mg1 0.000 0.000 0.000
Mn1 0.000 0.500 0.500
Mn2 0.500 0.000 0.500
H1 0.000 0.000 0.500
Pt1 0.500 0.500 0.000



Record 2
This record from Alexandria via LeMat-Bulk describes a relaxed structure of Y3Er8Th2. The functional is GGA-PBE.

Computed properties:
As for the space group: P-1 (2). As for the calculated volume: 849.4 Å³ per cell. The calculation puts the magnetization at 0.0 μB/f.u. For the electronic total energy, the calculation gives -5.293 eV/atom.

Cell lengths 6.942, 8.330, 15.237 Å; angles 88.74, 82.09, 76.75 degrees
Sites, in units of the cell vectors:
Y1 0.000 0.000 0.000
Y2 0.000 0.500 0.500
Y3 0.302 0.055 0.199
Y4 0.432 0.441 0.290
Y5 0.568 0.559 0.710
Y6 0.698 0.945 0.801
Er1 0.050 0.572 0.716
Er2 0.155 0.691 0.143
Er3 0.203 0.923 0.776
Er4 0.240 0.133 0.426
Er5 0.279 0.796 0.558
Er6 0.324 0.301 0.866
Er7 0.404 0.208 0.636
Er8 0.462 0.676 0.938
Er9 0.538 0.324 0.062
Er10 0.596 0.792 0.364
Er11 0.676 0.699 0.134
Er12 0.721 0.204 0.442
Er13 0.760 0.867 0.574
Er14 0.797 0.077 0.224
Er15 0.845 0.309 0.857
Er16 0.950 0.428 0.284
Th1 0.012 0.353 0.072
Th2 0.076 0.814 0.361
Th3 0.924 0.186 0.639
Th4 0.988 0.647 0.928



Record 3
This record from Alexandria via LeMat-Bulk describes a relaxed structure of BaNb2AlAg. The functional is GGA-PBE.

Computed properties:
As for the space group: P4/mmm (123). As for the calculated volume: 143.8 Å³ per cell. The calculation puts the magnetization at 0.0 μB/f.u. For the electronic total energy, the calculation gives -3.346 eV/atom.

Cell lengths 5.122, 5.122, 5.483 Å; angles 90.00, 90.00, 90.00 degrees
Sites, in units of the cell vectors:
Ba1 0.000 0.000 0.000
Nb1 0.000 0.500 0.000
Nb2 0.500 0.000 0.000
Al1 0.000 0.000 0.500
Ag1 0.500 0.500 0.500



Record 4
This record from Alexandria via LeMat-Bulk describes a relaxed structure of LaErAs2. The functional is GGA-PBE.

Computed properties:
As for the space group: R-3m (166). As for the calculated volume: 107.0 Å³ per cell. The calculation puts the magnetization at 0.0 μB/f.u. For the electronic total energy, the calculation gives -6.231 eV/atom.

Cell lengths 7.314, 7.314, 7.314 Å; angles 33.65, 33.65, 33.65 degrees
Sites, in units of the cell vectors:
La1 0.000 0.000 0.000
Er1 0.500 0.500 0.500
As1 0.245 0.245 0.245
As2 0.755 0.755 0.755



Record 5
This record from Alexandria via LeMat-Bulk describes a relaxed structure of Sr2CaPbF. The functional is GGA-PBE.

Computed properties:
As for the space group: P4/mmm (123). The uncorrected formation energy comes out at -1284 meV/atom. As for the calculated volume: 148.0 Å³ per cell. The calculation puts the magnetization at 0.0 μB/f.u. For the electronic total energy, the calculation gives -3.473 eV/atom.

Cell lengths 5.477, 5.477, 4.936 Å; angles 90.00, 90.00, 90.00 degrees
Sites, in units of the cell vectors:
Sr1 0.000 0.500 0.000
Sr2 0.500 0.000 0.000
Ca1 0.000 0.000 0.500
Pb1 0.500 0.500 0.500
F1 0.000 0.000 0.000



Record 6
This record from Alexandria via LeMat-Bulk describes a relaxed structure of SrYHg4. The functional is GGA-PBE.

Computed properties:
As for the space group: P2/m (10). As for the calculated volume: 177.5 Å³ per cell. The calculation puts the magnetization at 0.0 μB/f.u. For the electronic total energy, the calculation gives -1.816 eV/atom.

Cell lengths 5.655, 3.775, 8.314 Å; angles 90.00, 90.62, 90.00 degrees
Sites, in units of the cell vectors:
Sr1 0.000 0.000 0.000
Y1 0.500 0.500 0.500
Hg1 0.002 0.500 0.675
Hg2 0.498 0.000 0.805
Hg3 0.502 0.000 0.195
Hg4 0.998 0.500 0.325



Record 7
This record from Alexandria via LeMat-Bulk describes a relaxed structure of TlCrHPt2. The functional is GGA-PBE.

Computed properties:
As for the space group: P4/mmm (123). As for the calculated volume: 70.2 Å³ per cell. The calculation puts the magnetization at 0.0 μB/f.u. For the electronic total energy, the calculation gives -5.049 eV/atom.

Cell lengths 3.888, 3.888, 4.642 Å; angles 90.00, 90.00, 90.00 degrees
Sites, in units of the cell vectors:
Tl1 0.000 0.000 0.000
Cr1 0.500 0.500 0.000
H1 0.000 0.000 0.500
Pt1 0.000 0.500 0.500
Pt2 0.500 0.000 0.500



Record 8
This record from Alexandria via LeMat-Bulk describes a relaxed structure of Fe2ReRu. The functional is GGA-PBE.

Computed properties:
As for the space group: P2/m (10). As for the calculated volume: 53.8 Å³ per cell. The calculation puts the magnetization at 5.7 μB/f.u. For the electronic total energy, the calculation gives -9.459 eV/atom.

Cell lengths 2.624, 4.243, 4.886 Å; angles 90.00, 98.83, 90.00 degrees
Sites, in units of the cell vectors:
Fe1 0.246 0.000 0.247
Fe2 0.754 0.000 0.753
Re1 0.500 0.500 0.000
Ru1 0.000 0.500 0.500



The highest electronic total energy belongs to which entry? SrYHg4



Among the records above, which one has the lowest electronic total energy? Fe2ReRu